one.
HgMo | PBEsol | optimized geometry

Properties
space-group type: Fd-3m (227)
DOS(E_F): 3.68 states/eV per cell
size of the total moment: 0.0 μB/f.u.

The structure in POSCAR format:
```
HgMo
1.0
4.634 0.000 0.000
2.317 4.013 0.000
2.317 1.338 3.784
Hg Mo
2 2
direct
0.750 0.750 0.750 Hg
0.500 0.500 0.500 Hg
0.000 0.000 0.000 Mo
0.250 0.250 0.250 Mo
```

two.
HgMo | PBEsol | optimized geometry

Properties
space-group type: I4_1/amd (141)
DOS(E_F): 2.75 states/eV per cell
size of the total moment: 0.0 μB/f.u.

The structure in POSCAR format:
```
HgMo
1.0
-1.651 -3.705 0.298
2.286 -1.269 -3.116
2.664 1.371 4.052
Hg Mo
2 2
direct
0.250 0.750 0.500 Hg
0.000 0.000 0.000 Hg
0.500 0.500 0.000 Mo
0.750 0.250 0.500 Mo
```

Relative energies in meV/atom: one 201; two 0

one.
HgMo | PBEsol | optimized geometry

Properties
space-group type: P4/nmm (129)
DOS(E_F): 2.78 states/eV per cell
size of the total moment: 0.0 μB/f.u.

The structure in POSCAR format:
```
HgMo
1.0
3.186 0.000 0.000
0.000 3.186 0.000
0.000 0.000 7.191
Hg Mo
2 2
direct
0.500 0.000 0.145 Hg
0.000 0.500 0.855 Hg
0.000 0.500 0.414 Mo
0.500 0.000 0.586 Mo
```

two.
HgMo | PBEsol | optimized geometry

Properties
space-group type: F-43m (216)
DOS(E_F): 1.73 states/eV per cell
size of the total moment: 0.0 μB/f.u.

The structure in POSCAR format:
```
HgMo
1.0
-2.079 0.725 -3.553
-3.995 -1.176 -0.361
-3.026 2.882 -0.100
Mo Hg
1 1
direct
0.750 0.750 0.750 Mo
0.000 0.000 0.000 Hg
```

Relative energies in meV/atom: one 0; two 1945

one.
Hg2MoO4 | PBEsol | optimized geometry

Properties
space-group type: P2_1/c (14)
DOS(E_F): 0.00 states/eV per cell
size of the total moment: 0.0 μB/f.u.

The structure in POSCAR format:
```
Hg2MoO4
1.0
5.174 0.000 -0.061
0.000 9.014 0.000
-1.897 0.000 10.666
Hg Mo O
8 4 16
direct
0.657 0.618 0.439 Hg
0.657 0.882 0.939 Hg
0.552 0.293 0.921 Hg
0.448 0.793 0.579 Hg
0.448 0.707 0.079 Hg
0.343 0.118 0.061 Hg
0.343 0.382 0.561 Hg
0.552 0.207 0.421 Hg
0.969 0.954 0.282 Mo
0.031 0.046 0.718 Mo
0.969 0.546 0.782 Mo
0.031 0.454 0.218 Mo
0.843 0.724 0.792 O
0.297 0.915 0.722 O
0.785 0.485 0.087 O
0.900 0.459 0.359 O
0.215 0.515 0.913 O
0.215 0.985 0.413 O
0.157 0.224 0.708 O
0.100 0.959 0.141 O
0.843 0.776 0.292 O
0.100 0.541 0.641 O
0.703 0.415 0.778 O
0.157 0.276 0.208 O
0.785 0.015 0.587 O
0.900 0.041 0.859 O
0.703 0.085 0.278 O
0.297 0.585 0.222 O
```

two.
Hg2MoO4 | PBEsol | optimized geometry

Properties
space-group type: C2/c (15)
DOS(E_F): 0.00 states/eV per cell
size of the total moment: 0.0 μB/f.u.

The structure in POSCAR format:
```
Hg2MoO4
1.0
4.909 0.025 0.037
-1.846 7.009 0.058
-1.846 -2.623 6.500
O Hg Mo
8 4 2
direct
0.144 0.182 0.086 O
0.197 0.947 0.336 O
0.803 0.053 0.664 O
0.356 0.914 0.818 O
0.303 0.664 0.053 O
0.644 0.086 0.182 O
0.697 0.336 0.947 O
0.856 0.818 0.914 O
0.519 0.466 0.250 Hg
0.481 0.534 0.750 Hg
0.981 0.750 0.534 Hg
0.019 0.250 0.466 Hg
0.250 0.900 0.100 Mo
0.750 0.100 0.900 Mo
```

Relative energies in meV/atom: one 15; two 0

one.
Hg2MoP | PBEsol | optimized geometry

Properties
space-group type: Cmm2 (35)
DOS(E_F): 2.40 states/eV per cell
size of the total moment: 0.0 μB/f.u.

The structure in POSCAR format:
```
Hg2MoP
1.0
2.839 0.024 0.000
-0.955 2.673 0.000
0.000 0.000 10.286
Hg Mo P
2 1 1
direct
0.500 0.500 0.711 Hg
0.000 0.000 0.008 Hg
0.000 0.000 0.473 Mo
0.500 0.500 0.307 P
```

two.
Hg2MoP | PBEsol | optimized geometry

Properties
space-group type: P2/m (10)
DOS(E_F): 2.49 states/eV per cell
size of the total moment: 0.0 μB/f.u.

The structure in POSCAR format:
```
Hg2MoP
1.0
2.840 0.180 0.000
0.244 4.931 0.000
0.000 0.000 5.212
P Hg Mo
1 2 1
direct
0.500 0.500 0.500 P
0.251 0.753 0.000 Hg
0.749 0.247 0.000 Hg
0.500 0.000 0.500 Mo
```

Relative energies in meV/atom: one 0; two 310

one.
Hg2MoP | PBEsol | optimized geometry

Properties
space-group type: P4/mmm (123)
DOS(E_F): 3.49 states/eV per cell
size of the total moment: 0.0 μB/f.u.

The structure in POSCAR format:
```
Hg2MoP
1.0
3.812 0.000 0.000
0.000 3.812 0.000
0.000 0.000 4.846
P Hg Mo
1 2 1
direct
0.000 0.000 0.500 P
0.000 0.500 0.000 Hg
0.500 0.000 0.000 Hg
0.500 0.500 0.500 Mo
```

two.
Hg2MoP | PBEsol | optimized geometry

Properties
space-group type: Cmmm (65)
DOS(E_F): 2.94 states/eV per cell
size of the total moment: 0.0 μB/f.u.

The structure in POSCAR format:
```
Hg2MoP
1.0
-2.266 -0.372 -1.695
2.217 -0.180 -1.788
0.414 -8.983 1.417
Mo Hg P
1 2 1
direct
0.500 0.500 0.500 Mo
0.000 0.000 0.747 Hg
0.000 0.000 0.253 Hg
0.500 0.500 0.000 P
```

Relative energies in meV/atom: one 0; two 73

one.
HgMoPb | PBEsol | optimized geometry

Properties
space-group type: F-43m (216)
DOS(E_F): 1.99 states/eV per cell
size of the total moment: 2.1 μB/f.u.

The structure in POSCAR format:
```
HgMoPb
1.0
4.654 0.000 0.000
2.327 4.031 0.000
2.327 1.344 3.800
Mo Hg Pb
1 1 1
direct
0.250 0.250 0.250 Mo
0.500 0.500 0.500 Hg
0.000 0.000 0.000 Pb
```

two.
HgMoPb | PBEsol | optimized geometry

Properties
space-group type: Imm2 (44)
DOS(E_F): 3.37 states/eV per cell
size of the total moment: 0.0 μB/f.u.

The structure in POSCAR format:
```
HgMoPb
1.0
-0.484 2.797 1.277
-1.411 -1.714 3.219
5.561 -0.642 -0.279
Pb Mo Hg
1 1 1
direct
0.674 0.674 0.348 Pb
0.341 0.341 0.681 Mo
0.985 0.985 0.971 Hg
```

three.
HgMoPb | PBEsol | optimized geometry

Properties
space-group type: Fmm2 (42)
DOS(E_F): 2.30 states/eV per cell
size of the total moment: 0.0 μB/f.u.

The structure in POSCAR format:
```
HgMoPb
1.0
-0.483 2.897 0.511
-2.832 -0.889 -0.277
1.366 -2.326 7.101
Mo Pb Hg
1 1 1
direct
0.662 0.662 0.324 Mo
0.316 0.316 0.632 Pb
0.022 0.022 0.045 Hg
```

Relative energies in meV/atom: one 214; two 82; three 0

one.
HgSb2Mo | PBEsol | optimized geometry

Properties
space-group type: Amm2 (38)
DOS(E_F): 2.81 states/eV per cell
size of the total moment: 0.0 μB/f.u.

The structure in POSCAR format:
```
HgSb2Mo
1.0
-1.023 -2.749 -1.974
1.962 -2.884 3.000
-3.942 1.117 3.652
Hg Mo Sb
1 1 2
direct
0.716 0.000 0.431 Hg
0.547 0.500 0.094 Mo
0.980 0.000 0.961 Sb
0.264 0.500 0.527 Sb
```

two.
HgSb2Mo | PBEsol | optimized geometry

Properties
space-group type: Cmm2 (35)
DOS(E_F): 3.18 states/eV per cell
size of the total moment: 0.0 μB/f.u.

The structure in POSCAR format:
```
HgSb2Mo
1.0
3.069 0.007 0.000
-0.937 2.923 0.000
0.000 0.000 9.927
Hg Sb Mo
1 2 1
direct
0.000 0.000 0.475 Hg
0.000 0.000 0.050 Sb
0.500 0.500 0.722 Sb
0.500 0.500 0.254 Mo
```

three.
HgSb2Mo | PBEsol | optimized geometry

Properties
space-group type: Immm (71)
DOS(E_F): 2.93 states/eV per cell
size of the total moment: 0.0 μB/f.u.

The structure in POSCAR format:
```
HgSb2Mo
1.0
3.707 0.000 0.000
0.000 5.108 0.000
-1.853 -2.554 4.437
Sb Mo Hg
2 1 1
direct
0.741 0.741 0.482 Sb
0.259 0.259 0.518 Sb
0.000 0.500 0.000 Mo
0.500 0.000 0.000 Hg
```

four.
HgSb2Mo | PBEsol | optimized geometry

Properties
space-group type: Cmmm (65)
DOS(E_F): 3.37 states/eV per cell
size of the total moment: 0.0 μB/f.u.

The structure in POSCAR format:
```
HgSb2Mo
1.0
3.487 0.022 0.028
-0.037 4.918 0.062
-0.037 -1.067 4.802
Hg Sb Mo
1 2 1
direct
0.500 0.500 0.500 Hg
0.000 0.000 0.500 Sb
0.000 0.500 0.000 Sb
0.500 0.000 0.000 Mo
```

Relative energies in meV/atom: one 0; two 116; three 181; four 202

one.
HgSbMo2 | PBEsol | optimized geometry

Properties
space-group type: R3m (160)
DOS(E_F): 3.07 states/eV per cell
size of the total moment: 0.0 μB/f.u.

The structure in POSCAR format:
```
HgSbMo2
1.0
-2.777 -1.424 0.344
-1.410 -1.311 -2.480
2.903 -8.868 1.051
Sb Hg Mo
1 1 2
direct
0.490 0.490 0.529 Sb
0.259 0.259 0.224 Hg
0.011 0.011 0.967 Mo
0.740 0.740 0.780 Mo
```

two.
HgSbMo2 | PBEsol | optimized geometry

Properties
space-group type: Pmmm (47)
DOS(E_F): 3.26 states/eV per cell
size of the total moment: 0.0 μB/f.u.

The structure in POSCAR format:
```
HgSbMo2
1.0
3.314 0.000 0.000
0.000 4.539 0.000
0.000 0.000 4.787
Mo Sb Hg
2 1 1
direct
0.500 0.000 0.500 Mo
0.000 0.000 0.000 Mo
0.500 0.500 0.000 Sb
0.000 0.500 0.500 Hg
```

Relative energies in meV/atom: one 0; two 316

one.
HgMo2Se | PBEsol | optimized geometry

Properties
space-group type: Pmmm (47)
DOS(E_F): 3.91 states/eV per cell
size of the total moment: 0.0 μB/f.u.

The structure in POSCAR format:
```
HgMo2Se
1.0
-1.295 -0.118 2.945
2.413 -3.769 0.910
3.467 2.613 1.629
Hg Mo Se
1 2 1
direct
0.000 0.500 0.500 Hg
0.500 0.000 0.500 Mo
0.000 0.000 0.000 Mo
0.500 0.500 0.000 Se
```

two.
HgMo2Se | PBEsol | optimized geometry

Properties
space-group type: Amm2 (38)
DOS(E_F): 2.39 states/eV per cell
size of the total moment: 0.0 μB/f.u.

The structure in POSCAR format:
```
HgMo2Se
1.0
3.010 0.000 0.000
0.000 4.523 0.000
-1.505 0.000 5.156
Se Mo Hg
1 2 1
direct
0.210 0.000 0.419 Se
0.302 0.500 0.605 Mo
0.902 0.000 0.804 Mo
0.561 0.500 0.123 Hg
```

Relative energies in meV/atom: one 364; two 0

one.
SrHg2Mo | PBEsol | optimized geometry

Properties
space-group type: P4/mmm (123)
DOS(E_F): 3.24 states/eV per cell
size of the total moment: 1.7 μB/f.u.

The structure in POSCAR format:
```
SrHg2Mo
1.0
-2.080 2.848 -0.256
-2.313 -1.861 -1.920
-3.439 -1.968 6.049
Hg Sr Mo
2 1 1
direct
0.000 0.000 0.796 Hg
0.000 0.000 0.204 Hg
0.500 0.500 0.500 Sr
0.500 0.500 0.000 Mo
```

two.
SrHg2Mo | PBEsol | optimized geometry

Properties
space-group type: P4mm (99)
DOS(E_F): 2.88 states/eV per cell
size of the total moment: 0.0 μB/f.u.

The structure in POSCAR format:
```
SrHg2Mo
1.0
-2.759 -0.071 -1.300
0.259 -3.015 -0.384
-3.918 -1.405 8.390
Mo Sr Hg
1 1 2
direct
0.000 0.000 0.473 Mo
0.500 0.500 0.744 Sr
0.000 0.000 0.016 Hg
0.500 0.500 0.266 Hg
```

Relative energies in meV/atom: one 0; two 157

one.
Tl3HgMo | PBEsol | optimized geometry

Properties
space-group type: Pm-3m (221)
DOS(E_F): 4.10 states/eV per cell
size of the total moment: 0.0 μB/f.u.

The structure in POSCAR format:
```
Tl3HgMo
1.0
5.324 0.000 0.000
0.000 5.324 0.000
0.000 0.000 5.324
Tl Mo Hg
3 1 1
direct
0.500 0.000 0.000 Tl
0.000 0.500 0.000 Tl
0.000 0.000 0.500 Tl
0.000 0.000 0.000 Mo
0.500 0.500 0.500 Hg
```

two.
Tl3HgMo | PBEsol | optimized geometry

Properties
space-group type: Pm-3m (221)
DOS(E_F): 2.86 states/eV per cell
size of the total moment: 4.6 μB/f.u.

The structure in POSCAR format:
```
Tl3HgMo
1.0
-0.706 3.185 4.422
-1.101 -4.450 3.029
5.337 -0.497 1.210
Tl Mo Hg
3 1 1
direct
0.000 0.000 0.500 Tl
0.500 0.000 0.000 Tl
0.000 0.500 0.000 Tl
0.500 0.500 0.500 Mo
0.000 0.000 0.000 Hg
```

Relative energies in meV/atom: one 0; two 714

one.
TlHgMo2 | PBEsol | optimized geometry

Properties
space-group type: I-4m2 (119)
DOS(E_F): 2.63 states/eV per cell
size of the total moment: 0.0 μB/f.u.

The structure in POSCAR format:
```
TlHgMo2
1.0
4.114 0.000 0.000
0.000 4.114 0.000
-2.057 -2.057 4.175
Tl Hg Mo
1 1 2
direct
0.500 0.500 0.000 Tl
0.250 0.750 0.500 Hg
0.750 0.250 0.500 Mo
0.000 0.000 0.000 Mo
```

two.
TlHgMo2 | PBEsol | optimized geometry

Properties
space-group type: Cm (8)
DOS(E_F): 2.79 states/eV per cell
size of the total moment: 0.0 μB/f.u.

The structure in POSCAR format:
```
TlHgMo2
1.0
-0.461 0.778 -2.711
4.858 -1.515 0.246
-1.831 -4.707 -1.039
Hg Mo Tl
1 2 1
direct
0.253 0.506 0.749 Hg
0.752 0.504 0.228 Mo
0.996 0.991 0.019 Mo
0.500 0.000 0.504 Tl
```

three.
TlHgMo2 | PBEsol | optimized geometry

Properties
space-group type: Immm (71)
DOS(E_F): 3.04 states/eV per cell
size of the total moment: 0.0 μB/f.u.

The structure in POSCAR format:
```
TlHgMo2
1.0
3.341 0.000 0.000
0.000 4.598 0.000
-1.671 -2.299 4.685
Hg Mo Tl
1 2 1
direct
0.000 0.500 0.000 Hg
0.751 0.751 0.502 Mo
0.249 0.249 0.498 Mo
0.500 0.000 0.000 Tl
```

Relative energies in meV/atom: one 19; two 0; three 42